CeY2HoP4 PBE relaxed; energy of formation from the pure elements = -1.60 eV/atom
1.0
4.0256 0.0000 0.0000
0.0000 6.9612 0.1245
0.0000 -2.4309 6.5252
Ce Y Ho P
1 2 1 4
Cartesian
2.0128 3.4806 0.0622
2.0128 -1.2155 3.2626
0.0000 2.2651 3.3248
0.0000 0.0000 0.0000
2.0128 1.1277 1.6529
2.0128 3.4026 4.9968
0.0000 -0.0946 4.9212
0.0000 4.6248 1.7284

***

Tb4Ho15Zr PBE relaxed; energy of formation from the pure elements = 0.03 eV/atom
1.0
-0.8751 -4.8636 0.5638
1.3586 0.3090 4.7747
-23.4342 4.9521 6.3474
Tb Ho Zr
4 15 1
Cartesian
-4.6296 0.9783 1.2540
-9.3453 1.9748 2.5313
-14.0889 2.9773 3.8161
-18.8046 3.9738 5.0934
0.2417 -2.2773 2.6692
-4.3708 -1.3026 3.9186
-9.1078 -0.3016 5.2016
-13.8430 0.6991 6.4842
-18.5799 1.7001 7.7672
-2.6342 -1.9676 0.8769
-7.4078 -0.9589 2.1698
-12.1546 0.0442 3.4556
-16.9014 1.0473 4.7413
-21.6751 2.0561 6.0343
-1.5174 0.6187 2.9823
-6.2910 1.6275 4.2753
-11.0378 2.6306 5.5610
-15.7846 3.6337 6.8467
-20.5582 4.6424 8.1397
0.0000 0.0000 0.0000

***

Hf2P7Ru12 PBE relaxed; energy of formation from the pure elements = -0.70 eV/atom
1.0
3.8863 0.0000 0.0000
0.0000 8.1057 -4.6798
0.0000 0.0000 9.3597
Hf P Ru
2 7 12
Cartesian
1.9431 0.0000 0.0000
0.0000 5.4038 0.0000
0.0000 2.7019 4.6798
0.0000 0.2260 7.2099
0.0000 6.1310 5.5590
0.0000 1.7487 1.2706
1.9431 4.9972 2.2153
1.9431 7.5257 -0.7555
1.9431 3.6886 -1.4598
1.9431 7.1675 1.5562
1.9431 5.8697 -2.3055
1.9431 3.1743 0.7493
1.9431 1.9749 6.2833
1.9431 4.4541 4.5077
1.9431 1.6767 3.2485
0.0000 0.4747 4.9202
0.0000 4.0237 6.4884
0.0000 3.6073 2.6309
0.0000 6.2200 3.3223
0.0000 7.8729 -2.3679
0.0000 2.1186 -0.9543

***

PmBeBr PBE relaxed; raw formation energy = -730.0 meV/atom; energy relative to the lowest polymorph listed for this composition = 0.105 eV/atom
1.0
4.0025 0.0000 0.0000
0.0000 4.1131 0.0000
0.0000 2.0566 8.5102
Be Br Pm
2 2 2
Cartesian
3.0019 2.0566 0.4233
1.0006 4.1131 8.0870
3.0019 2.0566 2.8206
1.0006 4.1131 5.6896
3.0019 2.0566 7.0036
1.0006 4.1131 1.5066

***

La9Sm4Cd11 PBE relaxed; energy of formation from the pure elements = -0.26 eV/atom
1.0
3.6667 0.0000 0.0000
0.0000 13.3949 -5.4773
0.0000 0.2274 14.4697
La Sm Cd
9 4 11
Cartesian
1.8334 8.4261 -1.2375
1.8334 5.1962 10.2299
1.8334 2.1734 8.2345
1.8334 11.4489 0.7579
1.8334 10.8137 9.5713
1.8334 2.8086 -0.5788
1.8334 13.0508 6.1823
1.8334 0.5715 2.8101
1.8334 6.8112 4.4962
1.8334 7.6987 7.7654
1.8334 5.9236 1.2270
1.8334 10.1661 4.0276
1.8334 3.4562 4.9649
0.0000 8.0505 10.4911
0.0000 5.5718 -1.4986
0.0000 12.8107 3.2799
0.0000 0.8116 5.7125
0.0000 8.5635 1.8417
0.0000 5.0588 7.1508
0.0000 11.1820 -2.1250
0.0000 2.4403 11.1174
0.0000 0.0000 0.0000
0.0000 10.1269 6.6850
0.0000 3.4954 2.3074

***

Tm2AlBi PBE relaxed; energy of formation from the pure elements = -0.31 eV/atom
1.0
4.1402 0.0000 0.0000
2.0701 3.5855 0.0000
2.0701 1.1952 7.7222
Tm Bi Al
2 1 1
Cartesian
2.0701 1.1952 1.9432
6.2103 3.5855 5.7790
4.1402 2.3903 3.8611
0.0000 0.0000 0.0000

***

InCoAs2 PBE relaxed; energy of formation from the pure elements = 0.13 eV/atom
1.0
-0.4107 -2.9935 0.7422
3.4004 -0.8988 -1.7432
4.5463 0.4671 4.3998
As Co In
2 1 1
Cartesian
3.3046 -0.8579 -1.6311
2.2560 -1.5748 1.4187
4.1116 -0.4380 0.5087
5.2375 -1.6692 2.6877

***

TbScCd PBE relaxed; energy of formation from the pure elements = -0.09 eV/atom; energy relative to the lowest polymorph listed for this composition = 0.082 eV/atom
1.0
-0.8140 -1.0772 -3.0986
2.2122 -2.5384 0.3009
-9.7647 -7.8801 5.3050
Tb Sc Cd
2 2 2
Cartesian
-4.9019 -5.5815 0.0107
1.2805 -2.5441 -0.8242
-8.2425 -8.2771 1.8261
-5.1442 -7.7284 2.6638
-1.8623 -3.1284 -1.6383
-1.7596 -4.9957 0.8251

***

LiDy2Hf PBE relaxed; energy of formation from the pure elements = 0.42 eV/atom; energy relative to the lowest polymorph listed for this composition = 0.317 eV/atom
1.0
-0.7347 2.4137 2.0050
-2.8008 1.5623 -0.3171
-6.2794 -6.3281 7.9070
Li Hf Dy
1 1 2
Cartesian
-4.9074 -1.1760 4.7974
0.0000 0.0000 0.0000
-4.9286 -4.3013 5.9621
-4.8863 1.9493 3.6328

***

CsZrB PBE relaxed; energy of formation from the pure elements = 0.34 eV/atom; energy relative to the lowest polymorph listed for this composition = 0.000 eV/atom
1.0
-4.0804 -1.6394 0.8651
1.6195 -2.1320 3.5939
-8.2113 9.5668 4.5943
Cs B Zr
2 2 2
Cartesian
-9.0897 5.3470 4.2092
-4.9182 -0.1077 1.8993
-2.5446 1.5144 4.5729
-5.7566 3.2428 4.2523
-4.7666 1.4355 5.5277
-3.5346 3.3217 3.2975

***

Cs2ThSe3 PBE relaxed; raw formation energy = -1551.1 meV/atom
1.0
8.2215 0.2429 -1.5787
-2.9562 7.6754 -1.5787
-0.2516 -0.3784 14.5296
Cs Th Se
8 4 12
Cartesian
6.4561 3.6486 11.9678
2.0262 3.0471 11.0209
5.6561 2.4455 7.6162
1.2261 1.8439 6.6692
3.7875 5.6960 4.7030
4.9464 1.3782 3.7561
2.9875 4.4928 0.3514
4.1464 0.1750 -0.5956
4.6094 6.9320 9.1733
0.1167 6.2361 7.8851
-0.6919 5.0201 3.4872
0.4043 0.6080 2.1989
-1.0552 5.1536 10.3856
4.9024 0.6322 10.5404
0.5159 0.0961 9.8301
2.7799 4.8604 8.0966
-1.2464 4.1861 6.2611
0.6712 7.0701 5.1112
1.6069 3.0964 3.2756
5.1246 7.0270 1.5421
6.3270 2.7747 0.8318
-0.1469 6.5195 0.9867
0.9588 1.4420 -0.5750
4.3064 6.4764 -2.5824

***

V3FeCo3 PBE relaxed; energy of formation from the pure elements = 0.25 eV/atom
1.0
-4.9622 -0.4875 -4.2453
1.2196 -0.7426 -6.3910
-1.2524 -5.2862 -2.9798
V Fe Co
6 2 6
Cartesian
-0.7083 -1.5590 -5.6309
-4.5720 -1.6128 -6.1274
-2.2077 -1.9719 -9.2029
-2.7874 -4.5443 -4.4131
-0.4230 -4.9034 -7.4886
-4.2868 -4.9572 -7.9851
-2.5000 -5.6807 -6.5270
-2.4951 -0.8355 -7.0890
-2.2392 -4.2864 -8.8259
-4.4664 -3.9431 -5.8859
-0.7893 -3.8951 -5.4396
-4.2057 -2.6211 -8.1764
-0.5286 -2.5731 -7.7302
-2.7559 -2.2298 -4.7901

***

Cs4I3 PBE relaxed; raw formation energy = -1252.1 meV/atom
1.0
6.5984 0.0000 0.0000
3.2992 5.7144 0.0000
3.2992 1.9048 10.8131
Cs I
4 3
Cartesian
6.5984 3.8096 9.4730
3.2992 1.9048 6.7679
9.8976 5.7144 4.0452
6.5984 3.8096 1.3401
9.8976 5.7144 8.0545
3.2992 1.9048 2.7585
0.0000 0.0000 0.0000

***

Ba3Os PBE relaxed; energy of formation from the pure elements = 1.07 eV/atom
1.0
-2.4313 2.1817 -5.8517
6.3220 -2.2235 -0.0387
-4.2881 -3.2689 3.9799
Os Ba
1 3
Cartesian
1.0170 -2.7462 1.9706
0.0000 0.0000 0.0000
-3.3597 -0.5436 -0.9359
1.9454 -0.0209 -2.9452

***

BaGaAg4 PBE relaxed; energy of formation from the pure elements = -0.09 eV/atom; energy relative to the lowest polymorph listed for this composition = 0.000 eV/atom
1.0
-1.5567 5.1792 -2.0643
-4.2095 0.3938 -3.9540
-5.1251 2.2704 1.4450
Ga Ba Ag
1 1 4
Cartesian
0.0000 0.0000 0.0000
-2.7228 1.9609 -1.1433
-4.2314 3.7652 -3.5949
-4.6942 4.7138 -0.8660
-6.8219 4.9128 -2.8646
-6.0350 2.2950 -1.8212

***

CsCaSbH2 PBE relaxed; energy relative to the lowest polymorph listed for this composition = 0.056 eV/atom
1.0
4.6953 0.0000 0.0000
0.0000 7.0020 0.0000
0.0000 0.0000 4.3261
Cs Ca Sb H
1 1 1 2
Cartesian
2.3476 0.0000 3.3107
0.0000 3.5010 3.3471
2.3476 3.5010 1.1813
0.0000 6.6142 1.1443
0.0000 0.3878 1.1443

***

MgTlOs2 PBE relaxed; energy of formation from the pure elements = 0.61 eV/atom
1.0
4.8109 -0.0032 0.0180
3.9405 2.7599 0.0180
0.7260 0.2287 5.2306
Mg Os Tl
1 2 1
Cartesian
7.1080 2.2391 3.9500
0.7378 0.2324 4.9803
4.7269 1.4890 2.8836
2.3693 0.7464 1.3167

***

CeB2Ir2C PBE relaxed; energy of formation from the pure elements = -0.61 eV/atom
1.0
3.8647 -0.0015 -0.0040
0.0017 3.8647 -0.0040
-1.9235 -1.9219 5.1744
C Ir B Ce
1 2 2 1
Cartesian
0.0001 0.0001 0.0000
0.0056 1.9375 2.5832
1.9375 0.0040 2.5832
0.0040 0.0040 1.5175
1.9391 1.9375 3.6489
1.9332 1.9317 -0.0040

***

AlMoAu2 PBE relaxed; energy of formation from the pure elements = 0.11 eV/atom
1.0
-2.5574 -4.5964 -1.7474
-1.8649 -3.6643 3.7170
-0.1304 5.1049 -2.1550
Mo Au Al
1 2 1
Cartesian
-2.4495 -1.8110 -1.4588
-0.0891 -0.1665 0.0397
-2.1220 -3.9639 0.9451
-2.1032 -1.3449 1.2734

***

CaB2Br8 PBE relaxed; raw formation energy = -863.5 meV/atom; energy relative to the lowest polymorph listed for this composition = 0.020 eV/atom
1.0
-4.4596 -2.6137 3.4805
4.8723 -4.6449 4.6103
0.8028 4.8402 6.5190
Ca B Br
1 2 8
Cartesian
0.0000 0.0000 0.0000
1.5493 -1.5840 11.1749
-0.3338 -0.8344 3.4348
1.0332 2.6907 8.4649
-2.5861 1.3434 7.4433
3.0374 -0.7196 10.0518
-1.8219 -1.6988 4.5580
3.8016 -3.7618 7.1665
0.1823 -5.1091 6.1449
0.0265 -1.9975 9.9829
1.1890 -0.4209 4.6268

***

no.,total moment (μB/f.u.)
1,0.4
2,0.0
3,0.0
4,0.0
5,0.5
6,0.0
7,0.0
8,0.0
9,0.0
10,0.0
11,0.0
12,0.0
13,0.8
14,0.5
15,0.0
16,0.0
17,0.0
18,0.2
19,0.0
20,0.0